This record from Alexandria via LeMat-Bulk describes an optimized crystal structure of CsTlZn2Cl8. The functional is PBE.

For the electronic total energy, the calculation gives -2.839 eV/atom. The space group is R-3 (148). Its total magnetic moment is 0.00 μB per formula unit. The calculation puts the uncorrected formation energy at -1.127 eV/atom. The value obtained for the calculated volume is 375.61 Å³ per cell.

Geometry as POSCAR:
```
CsTlZn2Cl8
1.0
-0.023 -6.148 -1.991
3.860 -1.842 -4.845
8.779 -4.903 4.548
Cl Tl Zn Cs
8 1 2 1
Cartesian
8.910 -5.219 1.918 Cl
4.547 -3.639 0.696 Cl
4.950 -4.226 -4.442 Cl
7.665 -8.666 2.154 Cl
3.705 -7.673 -4.205 Cl
2.410 -5.093 -1.936 Cl
8.068 -9.253 -2.984 Cl
10.205 -7.799 -0.352 Cl
0.000 0.000 0.000 Tl
2.943 -3.160 -0.764 Zn
9.672 -9.732 -1.524 Zn
6.307 -6.446 -1.144 Cs
```

---

This record from Alexandria via LeMat-Bulk describes an optimized crystal structure of CsZrTlCl6. The functional is PBE.

For the electronic total energy, the calculation gives -4.271 eV/atom. The space group is P-31c (163). Its density of states at the Fermi level is 0.0 states/eV per cell. Its total magnetic moment is 0.00 μB per formula unit. The calculation puts the uncorrected formation energy at -1.732 eV/atom. The value obtained for the calculated volume is 716.87 Å³ per cell.

Geometry as POSCAR:
```
CsZrTlCl6
1.0
7.771 0.000 0.000
-3.885 6.730 0.000
0.000 0.000 13.708
Cl Tl Cs Zr
12 2 2 2
Cartesian
2.828 3.985 1.981 Cl
-0.980 6.273 8.835 Cl
4.865 0.456 4.873 Cl
1.848 2.288 4.873 Cl
1.058 2.745 11.727 Cl
-2.037 4.441 11.727 Cl
5.923 2.288 1.981 Cl
0.980 6.273 11.727 Cl
4.943 3.985 4.873 Cl
-1.058 2.745 8.835 Cl
2.906 0.456 1.981 Cl
2.037 4.441 8.835 Cl
0.000 4.486 3.427 Tl
3.885 2.243 10.281 Tl
0.000 0.000 0.000 Cs
0.000 0.000 6.854 Cs
0.000 4.486 10.281 Zr
3.885 2.243 3.427 Zr
```

---

This record from Alexandria via LeMat-Bulk describes an optimized crystal structure of CsZrTl2Cl8. The functional is PBE.

For the electronic total energy, the calculation gives -3.817 eV/atom. The space group is P-1 (2). Its density of states at the Fermi level is 5.7 states/eV per cell. Its total magnetic moment is 0.48 μB per formula unit. The calculation puts the uncorrected formation energy at -1.408 eV/atom. The value obtained for the calculated volume is 429.95 Å³ per cell.

Geometry as POSCAR:
```
CsZrTl2Cl8
1.0
6.807 0.348 0.300
0.360 6.883 0.743
0.419 1.083 9.332
Zr Cl Cs Tl
1 8 1 2
Cartesian
0.000 0.000 0.000 Zr
2.175 6.706 8.452 Cl
1.928 1.456 0.572 Cl
1.011 5.286 2.584 Cl
5.411 1.609 1.924 Cl
4.488 5.742 5.366 Cl
5.658 6.859 9.803 Cl
3.098 2.573 5.010 Cl
6.575 3.029 7.792 Cl
0.210 0.542 4.666 Cs
3.927 4.375 2.950 Tl
3.659 3.940 7.426 Tl
```

---

This record from Alexandria via LeMat-Bulk describes an optimized crystal structure of Cs2ZrTlCl6. The functional is PBE.

For the electronic total energy, the calculation gives -4.058 eV/atom. The space group is R-3m (166). Its density of states at the Fermi level is 8.7 states/eV per cell. Its total magnetic moment is 1.01 μB per formula unit. The calculation puts the uncorrected formation energy at -1.688 eV/atom. The value obtained for the calculated volume is 758.04 Å³ per cell.

Geometry as POSCAR:
```
Cs2ZrTlCl6
1.0
-2.540 1.091 -7.202
-7.573 -0.059 -1.470
-3.950 14.843 -0.489
Cl Cs Zr Tl
12 4 2 2
Cartesian
-7.241 1.750 -3.251 Cl
-7.491 8.968 -2.253 Cl
-5.043 9.527 -5.041 Cl
-8.590 2.330 -7.075 Cl
-8.727 9.499 -5.756 Cl
-4.569 2.361 -6.294 Cl
-5.473 13.545 -2.087 Cl
-6.571 6.907 -6.909 Cl
-9.494 13.514 -2.868 Cl
-6.821 14.125 -5.911 Cl
-5.336 6.377 -3.406 Cl
-9.019 6.348 -4.121 Cl
-3.421 1.593 -2.684 Cs
-3.714 8.919 -1.471 Cs
-10.642 14.282 -6.478 Cs
-10.349 6.956 -7.691 Cs
0.000 0.000 0.000 Zr
-7.031 7.938 -4.581 Zr
-7.177 11.572 -3.979 Tl
-6.886 4.303 -5.183 Tl
```

---

This record from Alexandria via LeMat-Bulk describes an optimized crystal structure of Cs2TmCl4. The functional is PBE.

For the electronic total energy, the calculation gives -3.841 eV/atom. The space group is I4/mmm (139). Its density of states at the Fermi level is 3.3 states/eV per cell. Its total magnetic moment is 0.38 μB per formula unit. The calculation puts the uncorrected formation energy at -1.903 eV/atom. The value obtained for the calculated volume is 247.87 Å³ per cell.

Geometry as POSCAR:
```
Cs2TmCl4
1.0
5.318 0.000 0.000
0.000 5.318 0.000
2.659 2.659 8.764
Cl Cs Tm
4 2 1
Cartesian
2.659 0.000 0.000 Cl
0.000 2.659 0.000 Cl
5.318 5.318 2.680 Cl
2.659 2.659 6.085 Cl
2.659 2.659 2.513 Cs
5.318 5.318 6.252 Cs
0.000 0.000 0.000 Tm
```

---

This record from Alexandria via LeMat-Bulk describes an optimized crystal structure of CsTmCl4. The functional is PBE.

For the electronic total energy, the calculation gives -4.321 eV/atom. The space group is P-1 (2). Its density of states at the Fermi level is 0.0 states/eV per cell. Its total magnetic moment is 0.00 μB per formula unit. The calculation puts the uncorrected formation energy at -2.203 eV/atom. The value obtained for the calculated volume is 405.20 Å³ per cell.

Geometry as POSCAR:
```
CsTmCl4
1.0
6.761 0.000 -0.002
0.000 7.376 0.236
-3.383 -2.801 8.037
Cs Cl Tm
2 8 2
Cartesian
-2.009 -0.957 8.090 Cs
5.386 5.533 0.180 Cs
-0.439 0.067 3.364 Cl
-0.971 1.989 6.562 Cl
2.406 6.275 1.827 Cl
4.348 2.586 1.709 Cl
0.435 3.756 3.480 Cl
2.942 0.820 4.790 Cl
0.971 -1.700 6.444 Cl
3.816 4.508 4.906 Cl
1.689 -1.400 4.017 Tm
-1.692 2.288 4.136 Tm
```

---

This record from Alexandria via LeMat-Bulk describes an optimized crystal structure of CsTm2VCl8. The functional is PBE.

For the electronic total energy, the calculation gives -4.610 eV/atom. The space group is R-3 (148). Its density of states at the Fermi level is 6.3 states/eV per cell. Its total magnetic moment is 4.07 μB per formula unit. The calculation puts the uncorrected formation energy at -1.803 eV/atom. The value obtained for the calculated volume is 362.92 Å³ per cell.

Geometry as POSCAR:
```
CsTm2VCl8
1.0
6.937 0.000 0.000
3.468 6.007 0.000
3.468 2.002 8.710
Cl V Cs Tm
8 1 1 2
Cartesian
8.100 2.385 7.521 Cl
7.757 5.822 7.521 Cl
10.405 6.007 5.414 Cl
3.468 2.002 3.296 Cl
4.953 3.807 7.521 Cl
8.921 4.202 1.188 Cl
6.116 2.188 1.188 Cl
5.773 5.624 1.188 Cl
0.000 0.000 0.000 V
6.937 4.005 4.355 Cs
3.468 2.002 0.779 Tm
10.405 6.007 7.931 Tm
```

---

This record from Alexandria via LeMat-Bulk describes an optimized crystal structure of CsTmZn2Cl8. The functional is PBE.

For the electronic total energy, the calculation gives -3.558 eV/atom. The space group is R-3 (148). Its density of states at the Fermi level is 0.0 states/eV per cell. Its total magnetic moment is 0.00 μB per formula unit. The calculation puts the uncorrected formation energy at -1.671 eV/atom. The value obtained for the calculated volume is 376.18 Å³ per cell.

Geometry as POSCAR:
```
CsTmZn2Cl8
1.0
6.487 0.000 0.000
3.244 5.618 0.000
3.244 1.873 10.322
Cl Cs Zn Tm
8 1 2 1
Cartesian
4.309 3.709 8.782 Cl
5.366 5.613 1.540 Cl
9.731 5.618 5.769 Cl
5.430 1.841 1.540 Cl
3.244 1.873 4.553 Cl
8.665 3.782 1.540 Cl
7.544 5.650 8.782 Cl
7.608 1.877 8.782 Cl
6.487 3.745 5.161 Cs
9.731 5.618 7.983 Zn
3.244 1.873 2.339 Zn
0.000 0.000 0.000 Tm
```

---

This record from Alexandria via LeMat-Bulk describes an optimized crystal structure of Cs2UCl7. The functional is PBE.

For the electronic total energy, the calculation gives -4.285 eV/atom. The space group is Fm-3m (225). Its total magnetic moment is 1.23 μB per formula unit. The calculation puts the uncorrected formation energy at -1.693 eV/atom. The value obtained for the calculated volume is 395.24 Å³ per cell.

Geometry as POSCAR:
```
Cs2UCl7
1.0
8.237 0.000 0.000
4.119 7.134 0.000
4.119 2.378 6.726
Cl U Cs
7 1 2
Cartesian
8.237 4.756 3.363 Cl
8.237 2.083 1.473 Cl
10.552 6.092 1.473 Cl
5.923 6.092 1.473 Cl
10.552 3.419 5.253 Cl
5.923 3.419 5.253 Cl
8.237 7.429 5.253 Cl
0.000 0.000 0.000 U
4.119 2.378 1.681 Cs
12.356 7.134 5.044 Cs
```